Material: Cr2CoNi
Method: DFT, PBEsol
State: optimized geometry

DOS(E_F) in states/eV/atom: 1.233
ΔE to the lowest computed polymorph in meV/atom: 64

Cell lengths 8.083, 2.424, 4.373 Å; angles 90.00, 98.64, 90.00 degrees
Space group Cm (No. 8)
Asymmetric unit:
Cr (0.000, 0.000, 0.000) [2 per cell]
Cr (0.245, 0.000, 0.709) [2 per cell]
Co (0.499, 0.000, 0.491) [2 per cell]
Ni (0.250, 0.500, 0.222) [2 per cell]

=====

Material: CaHg2Sb
Method: DFT, PBEsol
State: optimized geometry

E_form (uncorrected) in eV/f.u.: -1.7
DOS(E_F) in states/eV/atom: 0.417

Cell lengths 6.281, 6.322, 5.382 Å; angles 90.00, 90.00, 90.00 degrees
Space group Cmmm (No. 65)
Asymmetric unit:
Ca (0.000, 0.000, 0.000) [2 per cell]
Hg (0.000, 0.255, 0.500) [4 per cell]
Sb (0.000, 0.500, 0.000) [2 per cell]

=====

> DOS(E_F) of number 1 (Cr2CoNi)?

1.233 states/eV/atom

=====

> Which formula does entry 2 have?

CaHg2Sb

=====

> Among the records above, which one has the lowest DOS(E_F)?

CaHg2Sb